{
  "formula": "CaBi2Sb",
  "functional": "GGA-PBE",
  "state": "relaxed",
  "lattice": [[7.274, 0.000, 0.000], [0.000, 7.274, 0.000], [3.637, 3.637, 6.955]],
  "species": ["Bi", "Bi", "Bi", "Bi", "Sb", "Sb", "Ca", "Ca"],
  "fractional_positions": [[0.875, 0.898, 0.750], [0.375, 0.352, 0.750], [0.102, 0.625, 0.250], [0.648, 0.125, 0.250], [0.000, 0.000, 0.000], [0.750, 0.250, 0.500], [0.250, 0.750, 0.500], [0.500, 0.500, 0.000]],
  "raw_formation_energy_ev_per_atom": -0.020
}